! Sr4AlBi4 PBE optimized geometry; values from VASP
! Energy   -3.599 eV per atom
! Crystal system   tetragonal
&SYSTEM
  ibrav = 0, nat = 18, ntyp = 3
/
ATOMIC_SPECIES
Sr 87.62 Sr.upf
Bi 208.98 Bi.upf
Al 26.98 Al.upf
ATOMIC_POSITIONS crystal
Sr 0.200 0.238 0.500
Sr 0.700 0.000 0.262
Sr 0.200 0.762 0.500
Sr 0.300 0.738 0.000
Sr 0.700 0.000 0.738
Sr 0.300 0.262 0.000
Sr 0.800 0.500 0.762
Sr 0.800 0.500 0.238
Bi 0.286 0.500 0.741
Bi 0.714 0.259 0.500
Bi 0.786 0.241 0.000
Bi 0.214 0.000 0.759
Bi 0.714 0.741 0.500
Bi 0.214 0.000 0.241
Bi 0.786 0.759 0.000
Bi 0.286 0.500 0.259
Al 0.500 0.500 0.500
Al 0.000 0.000 0.000
CELL_PARAMETERS angstrom
-6.872 1.678 -0.140
-0.788 -2.439 9.449
2.193 9.193 2.556